No. 1
## YBe2Pd2 (GGA-PBE)

Data for an optimized crystal structure of YBe2Pd2.

Values from the calculation:
* energy relative to the elements: -56.8 kJ per mole of atoms
* spin magnetization: 0.000 μB/f.u.

abc: 3.9801 3.9801 9.6399
angles: 90.00 90.00 90.00
Space group I4/mmm (No. 139)
Unique sites:
Y  0.0000  0.0000  0.0000 [2 per cell]
Be  0.0000  0.0000  0.3794 [4 per cell]
Pd  0.0000  0.5000  0.2500 [4 per cell]

***

No. 2
## YBePd3 (GGA-PBE)

Data for an optimized crystal structure of YBePd3.

Values from the calculation:
* energy relative to the elements: 97.1 kJ per mole of atoms
* spin magnetization: 0.000 μB/f.u.

abc: 5.0006 5.0006 5.0006
angles: 90.00 90.00 90.00
Space group Pm-3m (No. 221)
Unique sites:
Y  0.0000  0.0000  0.0000 [1 per cell]
Be  0.5000  0.5000  0.5000 [1 per cell]
Pd  0.0000  0.0000  0.5000 [3 per cell]

***

| no. | calculated total energy (eV/atom) | volume (Å³/cell) |
| --- | --- | --- |
| 1 | -5.45 | 153 |
| 2 | -4.15 | 125 |